Entry one
LuAlZnCo: optimized geometry, PBE-GGA.

Computed properties:
As for the crystal system: cubic. The calculation puts the calculated volume at 15.817 A^3/atom. Its magnetic moment is 0.04 μB per cell.

a = 6.325 Å, b = 6.325 Å, c = 6.325 Å
α = 90.00°, β = 90.00°, γ = 90.00°
Space group F-43m (No. 216)
Symmetry-distinct sites (fractional):
Lu 0.000 0.000 0.000 [4 per cell]
Al 0.250 0.250 0.250 [4 per cell]
Zn 0.250 0.250 0.750 [4 per cell]
Co 0.000 0.000 0.500 [4 per cell]

---

Entry two
LuAlZnCo: optimized geometry, PBE-GGA.

Computed properties:
As for the crystal system: cubic. The calculation puts the calculated volume at 15.758 A^3/atom. Its magnetic moment is 0.14 μB per cell.

a = 6.317 Å, b = 6.317 Å, c = 6.317 Å
α = 90.00°, β = 90.00°, γ = 90.00°
Space group F-43m (No. 216)
Symmetry-distinct sites (fractional):
Lu 0.000 0.000 0.000 [4 per cell]
Al 0.000 0.000 0.500 [4 per cell]
Zn 0.250 0.250 0.250 [4 per cell]
Co 0.250 0.250 0.750 [4 per cell]

---

Stability check: which of them is least stable? entry one.

---

Entry one
MgAlCoSi: optimized geometry, PBE-GGA.

Computed properties:
As for the crystal system: cubic. The calculation puts the calculated volume at 13.544 A^3/atom. Its magnetic moment is 0.00 μB per cell.

a = 6.006 Å, b = 6.006 Å, c = 6.006 Å
α = 90.00°, β = 90.00°, γ = 90.00°
Space group F-43m (No. 216)
Symmetry-distinct sites (fractional):
Mg 0.000 0.000 0.000 [4 per cell]
Al 0.250 0.250 0.750 [4 per cell]
Co 0.000 0.000 0.500 [4 per cell]
Si 0.250 0.250 0.250 [4 per cell]

---

Entry two
MgAlCoSi: optimized geometry, PBE-GGA.

Computed properties:
As for the crystal system: cubic. The calculation puts the calculated volume at 14.047 A^3/atom. Its magnetic moment is 0.18 μB per cell.

a = 6.080 Å, b = 6.080 Å, c = 6.080 Å
α = 90.00°, β = 90.00°, γ = 90.00°
Space group F-43m (No. 216)
Symmetry-distinct sites (fractional):
Mg 0.000 0.000 0.000 [4 per cell]
Al 0.000 0.000 0.500 [4 per cell]
Co 0.250 0.250 0.750 [4 per cell]
Si 0.250 0.250 0.250 [4 per cell]

---

Stability check: which of them is least stable? entry two.

---

Entry one
MgAlCoW: optimized geometry, PBE-GGA.

Computed properties:
As for the crystal system: cubic. The calculation puts the calculated volume at 14.382 A^3/atom. Its magnetic moment is 7.99 μB per cell.

a = 6.128 Å, b = 6.128 Å, c = 6.128 Å
α = 90.00°, β = 90.00°, γ = 90.00°
Space group F-43m (No. 216)
Symmetry-distinct sites (fractional):
Mg 0.000 0.000 0.000 [4 per cell]
Al 0.250 0.250 0.250 [4 per cell]
Co 0.000 0.000 0.500 [4 per cell]
W 0.250 0.250 0.750 [4 per cell]

---

Entry two
MgAlCoW: optimized geometry, PBE-GGA.

Computed properties:
As for the crystal system: cubic. The calculation puts the calculated volume at 14.580 A^3/atom. Its magnetic moment is 10.16 μB per cell.

a = 6.156 Å, b = 6.156 Å, c = 6.156 Å
α = 90.00°, β = 90.00°, γ = 90.00°
Space group F-43m (No. 216)
Symmetry-distinct sites (fractional):
Mg 0.000 0.000 0.000 [4 per cell]
Al 0.000 0.000 0.500 [4 per cell]
Co 0.250 0.250 0.750 [4 per cell]
W 0.250 0.250 0.250 [4 per cell]

---

Stability check: which of them is least stable? entry two.

---

Entry one
MgAlZnCo: optimized geometry, PBE-GGA.

Computed properties:
As for the crystal system: cubic. The calculation puts the calculated volume at 14.076 A^3/atom. Its magnetic moment is 0.00 μB per cell.

a = 6.084 Å, b = 6.084 Å, c = 6.084 Å
α = 90.00°, β = 90.00°, γ = 90.00°
Space group F-43m (No. 216)
Symmetry-distinct sites (fractional):
Mg 0.000 0.000 0.000 [4 per cell]
Al 0.250 0.250 0.250 [4 per cell]
Zn 0.250 0.250 0.750 [4 per cell]
Co 0.000 0.000 0.500 [4 per cell]

---

Entry two
MgAlZnCo: optimized geometry, PBE-GGA.

Computed properties:
As for the crystal system: cubic. The calculation puts the calculated volume at 13.973 A^3/atom. Its magnetic moment is 0.00 μB per cell.

a = 6.069 Å, b = 6.069 Å, c = 6.069 Å
α = 90.00°, β = 90.00°, γ = 90.00°
Space group F-43m (No. 216)
Symmetry-distinct sites (fractional):
Mg 0.000 0.000 0.000 [4 per cell]
Al 0.000 0.000 0.500 [4 per cell]
Zn 0.250 0.250 0.750 [4 per cell]
Co 0.250 0.250 0.250 [4 per cell]

---

Stability check: which of them is least stable? entry one.

---

Entry one
MgZrAlCo: optimized geometry, PBE-GGA.

Computed properties:
As for the crystal system: cubic. The calculation puts the calculated volume at 16.174 A^3/atom. Its magnetic moment is 0.49 μB per cell.

a = 6.373 Å, b = 6.373 Å, c = 6.373 Å
α = 90.00°, β = 90.00°, γ = 90.00°
Space group F-43m (No. 216)
Symmetry-distinct sites (fractional):
Mg 0.000 0.000 0.000 [4 per cell]
Zr 0.250 0.250 0.250 [4 per cell]
Al 0.000 0.000 0.500 [4 per cell]
Co 0.250 0.250 0.750 [4 per cell]

---

Entry two
MgZrAlCo: optimized geometry, PBE-GGA.

Computed properties:
As for the crystal system: cubic. The calculation puts the calculated volume at 15.931 A^3/atom. Its magnetic moment is 0.02 μB per cell.

a = 6.340 Å, b = 6.340 Å, c = 6.340 Å
α = 90.00°, β = 90.00°, γ = 90.00°
Space group F-43m (No. 216)
Symmetry-distinct sites (fractional):
Mg 0.000 0.000 0.000 [4 per cell]
Zr 0.250 0.250 0.750 [4 per cell]
Al 0.250 0.250 0.250 [4 per cell]
Co 0.000 0.000 0.500 [4 per cell]

---

Entry three
MgZrAlCo: optimized geometry, PBE-GGA.

Computed properties:
As for the crystal system: cubic. The calculation puts the calculated volume at 16.371 A^3/atom. Its magnetic moment is 0.08 μB per cell.

a = 6.398 Å, b = 6.398 Å, c = 6.398 Å
α = 90.00°, β = 90.00°, γ = 90.00°
Space group F-43m (No. 216)
Symmetry-distinct sites (fractional):
Mg 0.000 0.000 0.000 [4 per cell]
Zr 0.000 0.000 0.500 [4 per cell]
Al 0.250 0.250 0.750 [4 per cell]
Co 0.250 0.250 0.250 [4 per cell]

---

Stability check: which of them is least stable? entry one.

---

Entry one
AlCoNiMo: optimized geometry, PBE-GGA.

Computed properties:
As for the crystal system: cubic. The calculation puts the calculated volume at 12.602 A^3/atom. Its magnetic moment is 0.05 μB per cell.

a = 5.864 Å, b = 5.864 Å, c = 5.864 Å
α = 90.00°, β = 90.00°, γ = 90.00°
Space group F-43m (No. 216)
Symmetry-distinct sites (fractional):
Al 0.000 0.000 0.000 [4 per cell]
Co 0.250 0.250 0.250 [4 per cell]
Ni 0.000 0.000 0.500 [4 per cell]
Mo 0.250 0.250 0.750 [4 per cell]

---

Entry two
AlCoNiMo: optimized geometry, PBE-GGA.

Computed properties:
As for the crystal system: cubic. The calculation puts the calculated volume at 12.695 A^3/atom. Its magnetic moment is 0.06 μB per cell.

a = 5.878 Å, b = 5.878 Å, c = 5.878 Å
α = 90.00°, β = 90.00°, γ = 90.00°
Space group F-43m (No. 216)
Symmetry-distinct sites (fractional):
Al 0.000 0.000 0.000 [4 per cell]
Co 0.250 0.250 0.250 [4 per cell]
Ni 0.250 0.250 0.750 [4 per cell]
Mo 0.000 0.000 0.500 [4 per cell]

---

Stability check: which of them is least stable? entry one.

---

Entry one
AlZnCoMo: optimized geometry, PBE-GGA.

Computed properties:
As for the crystal system: cubic. The calculation puts the calculated volume at 13.648 A^3/atom. Its magnetic moment is 7.89 μB per cell.

a = 6.022 Å, b = 6.022 Å, c = 6.022 Å
α = 90.00°, β = 90.00°, γ = 90.00°
Space group F-43m (No. 216)
Symmetry-distinct sites (fractional):
Al 0.000 0.000 0.000 [4 per cell]
Zn 0.250 0.250 0.750 [4 per cell]
Co 0.250 0.250 0.250 [4 per cell]
Mo 0.000 0.000 0.500 [4 per cell]

---

Entry two
AlZnCoMo: optimized geometry, PBE-GGA.

Computed properties:
As for the crystal system: cubic. The calculation puts the calculated volume at 13.721 A^3/atom. Its magnetic moment is 9.64 μB per cell.

a = 6.033 Å, b = 6.033 Å, c = 6.033 Å
α = 90.00°, β = 90.00°, γ = 90.00°
Space group F-43m (No. 216)
Symmetry-distinct sites (fractional):
Al 0.000 0.000 0.000 [4 per cell]
Zn 0.000 0.000 0.500 [4 per cell]
Co 0.250 0.250 0.250 [4 per cell]
Mo 0.250 0.250 0.750 [4 per cell]

---

Stability check: which of them is least stable? entry two.

---

Entry one
NaTaAlCo: optimized geometry, PBE-GGA.

Computed properties:
As for the crystal system: cubic. The calculation puts the calculated volume at 14.679 A^3/atom. Its magnetic moment is 0.00 μB per cell.

a = 6.170 Å, b = 6.170 Å, c = 6.170 Å
α = 90.00°, β = 90.00°, γ = 90.00°
Space group F-43m (No. 216)
Symmetry-distinct sites (fractional):
Na 0.000 0.000 0.000 [4 per cell]
Ta 0.250 0.250 0.250 [4 per cell]
Al 0.250 0.250 0.750 [4 per cell]
Co 0.000 0.000 0.500 [4 per cell]

---

Entry two
NaTaAlCo: optimized geometry, PBE-GGA.

Computed properties:
As for the crystal system: cubic. The calculation puts the calculated volume at 15.734 A^3/atom. Its magnetic moment is 0.12 μB per cell.

a = 6.314 Å, b = 6.314 Å, c = 6.314 Å
α = 90.00°, β = 90.00°, γ = 90.00°
Space group F-43m (No. 216)
Symmetry-distinct sites (fractional):
Na 0.000 0.000 0.000 [4 per cell]
Ta 0.000 0.000 0.500 [4 per cell]
Al 0.250 0.250 0.250 [4 per cell]
Co 0.250 0.250 0.750 [4 per cell]

---

Stability check: which of them is least stable? entry two.

---

Entry one
NbAlCoPd: optimized geometry, PBE-GGA.

Computed properties:
As for the crystal system: cubic. The calculation puts the calculated volume at 14.816 A^3/atom. Its magnetic moment is 0.07 μB per cell.

a = 6.189 Å, b = 6.189 Å, c = 6.189 Å
α = 90.00°, β = 90.00°, γ = 90.00°
Space group F-43m (No. 216)
Symmetry-distinct sites (fractional):
Nb 0.000 0.000 0.000 [4 per cell]
Al 0.250 0.250 0.250 [4 per cell]
Co 0.000 0.000 0.500 [4 per cell]
Pd 0.250 0.250 0.750 [4 per cell]

---

Entry two
NbAlCoPd: optimized geometry, PBE-GGA.

Computed properties:
As for the crystal system: cubic. The calculation puts the calculated volume at 14.707 A^3/atom. Its magnetic moment is 4.13 μB per cell.

a = 6.174 Å, b = 6.174 Å, c = 6.174 Å
α = 90.00°, β = 90.00°, γ = 90.00°
Space group F-43m (No. 216)
Symmetry-distinct sites (fractional):
Nb 0.000 0.000 0.000 [4 per cell]
Al 0.000 0.000 0.500 [4 per cell]
Co 0.250 0.250 0.750 [4 per cell]
Pd 0.250 0.250 0.250 [4 per cell]

---

Stability check: which of them is least stable? entry one.

---

Entry one
AlCoNiOs: optimized geometry, PBE-GGA.

Computed properties:
As for the crystal system: cubic. The calculation puts the calculated volume at 12.446 A^3/atom. Its magnetic moment is 8.16 μB per cell.

a = 5.840 Å, b = 5.840 Å, c = 5.840 Å
α = 90.00°, β = 90.00°, γ = 90.00°
Space group F-43m (No. 216)
Symmetry-distinct sites (fractional):
Al 0.000 0.000 0.000 [4 per cell]
Co 0.250 0.250 0.250 [4 per cell]
Ni 0.250 0.250 0.750 [4 per cell]
Os 0.000 0.000 0.500 [4 per cell]

---

Entry two
AlCoNiOs: optimized geometry, PBE-GGA.

Computed properties:
As for the crystal system: cubic. The calculation puts the calculated volume at 12.292 A^3/atom. Its magnetic moment is 6.96 μB per cell.

a = 5.815 Å, b = 5.815 Å, c = 5.815 Å
α = 90.00°, β = 90.00°, γ = 90.00°
Space group F-43m (No. 216)
Symmetry-distinct sites (fractional):
Al 0.000 0.000 0.000 [4 per cell]
Co 0.250 0.250 0.250 [4 per cell]
Ni 0.000 0.000 0.500 [4 per cell]
Os 0.250 0.250 0.750 [4 per cell]

---

Stability check: which of them is least stable? entry one.

---

Entry one
ScAlCoNi: optimized geometry, PBE-GGA.

Computed properties:
As for the crystal system: cubic. The calculation puts the calculated volume at 13.498 A^3/atom. Its magnetic moment is 0.11 μB per cell.

a = 6.000 Å, b = 6.000 Å, c = 6.000 Å
α = 90.00°, β = 90.00°, γ = 90.00°
Space group F-43m (No. 216)
Symmetry-distinct sites (fractional):
Sc 0.000 0.000 0.000 [4 per cell]
Al 0.000 0.000 0.500 [4 per cell]
Co 0.250 0.250 0.750 [4 per cell]
Ni 0.250 0.250 0.250 [4 per cell]

---

Entry two
ScAlCoNi: optimized geometry, PBE-GGA.

Computed properties:
As for the crystal system: cubic. The calculation puts the calculated volume at 13.973 A^3/atom. Its magnetic moment is 4.39 μB per cell.

a = 6.069 Å, b = 6.069 Å, c = 6.069 Å
α = 90.00°, β = 90.00°, γ = 90.00°
Space group F-43m (No. 216)
Symmetry-distinct sites (fractional):
Sc 0.000 0.000 0.000 [4 per cell]
Al 0.250 0.250 0.750 [4 per cell]
Co 0.000 0.000 0.500 [4 per cell]
Ni 0.250 0.250 0.250 [4 per cell]

---

Entry three
ScAlCoNi: optimized geometry, PBE-GGA.

Computed properties:
As for the crystal system: cubic. The calculation puts the calculated volume at 13.890 A^3/atom. Its magnetic moment is 4.01 μB per cell.

a = 6.057 Å, b = 6.057 Å, c = 6.057 Å
α = 90.00°, β = 90.00°, γ = 90.00°
Space group F-43m (No. 216)
Symmetry-distinct sites (fractional):
Sc 0.000 0.000 0.000 [4 per cell]
Al 0.250 0.250 0.250 [4 per cell]
Co 0.250 0.250 0.750 [4 per cell]
Ni 0.000 0.000 0.500 [4 per cell]

---

Stability check: which of them is least stable? entry three.